# La2Pm3Pr6Al PBE-GGA relaxed
data_La2Pm3Pr6Al
_chemical_formula_sum 'La4 Pm6 Pr12 Al2'
_symmetry_space_group_name_H-M 'C 1 2/m 1'
_symmetry_Int_Tables_number 12
_cell_length_a 6.2749
_cell_length_b 10.8936
_cell_length_c 12.0502
_cell_angle_alpha 90.00
_cell_angle_beta 100.18
_cell_angle_gamma 90.00
loop_
_symmetry_equiv_pos_as_xyz
'x,y,z'
'-x,-y,-z'
'-x,y,-z'
'x,-y,z'
'x+1/2,y+1/2,z'
'-x+1/2,-y+1/2,-z'
'-x+1/2,y+1/2,-z'
'x+1/2,-y+1/2,z'
loop_
_atom_site_label
_atom_site_type_symbol
_atom_site_fract_x
_atom_site_fract_y
_atom_site_fract_z
La1 La 0.0000 0.1658 0.0000
Pm1 Pm 0.0000 0.0000 0.5000
Pm2 Pm 0.0000 0.3311 0.5000
Pr1 Pr 0.2390 0.5000 0.7532
Pr2 Pr 0.2413 0.3397 0.2452
Al1 Al 0.0000 0.5000 0.0000
# total energy = -56.71 eV per formula unit
# DOS at the Fermi energy = 31.66 states/eV per cell

***

# YZn2Br PBE-GGA relaxed
data_YZn2Br
_chemical_formula_sum 'Y1 Zn2 Br1'
_symmetry_space_group_name_H-M 'P 4 m m'
_symmetry_Int_Tables_number 99
_cell_length_a 3.5092
_cell_length_b 3.5092
_cell_length_c 8.0710
_cell_angle_alpha 90.00
_cell_angle_beta 90.00
_cell_angle_gamma 90.00
loop_
_symmetry_equiv_pos_as_xyz
'x,y,z'
'-y,x,z'
'-x,-y,z'
'y,-x,z'
'-x,y,z'
'y,x,z'
'x,-y,z'
'-y,-x,z'
loop_
_atom_site_label
_atom_site_type_symbol
_atom_site_fract_x
_atom_site_fract_y
_atom_site_fract_z
Y1 Y 0.0000 0.0000 0.0000
Zn1 Zn 0.0000 0.0000 0.3717
Zn2 Zn 0.5000 0.5000 0.2358
Br1 Br 0.5000 0.5000 0.7798
# energy above the most stable polymorph in this dataset = 0 meV per atom
# DOS at the Fermi energy = 2.01 states/eV per cell
# ΔE_f (raw) = -0.462 eV per atom

***

# RbNa2ErF6 PBE-GGA relaxed
data_RbNa2ErF6
_chemical_formula_sum 'Rb3 Na6 Er3 F18'
_symmetry_space_group_name_H-M 'R 3'
_symmetry_Int_Tables_number 146
_symmetry_space_group_name_Hall 'R 3'
_cell_length_a 6.0608
_cell_length_b 6.0608
_cell_length_c 16.2403
_cell_angle_alpha 90.00
_cell_angle_beta 90.00
_cell_angle_gamma 120.00
loop_
_atom_site_label
_atom_site_type_symbol
_atom_site_fract_x
_atom_site_fract_y
_atom_site_fract_z
Rb1 Rb 0.0000 0.0000 0.0000
Na1 Na 0.0000 0.0000 0.2724
Na2 Na 0.0000 0.0000 0.7841
Er1 Er 0.0000 0.0000 0.4779
F1 F 0.0019 0.3208 0.5380
F2 F 0.0392 0.5966 0.0542
# DOS at the Fermi energy = 0.00 states/eV per cell
# ΔE_f (raw) = -3.311 eV per atom

***

# Ce2NdPaP4 PBE-GGA relaxed
data_Ce2NdPaP4
_chemical_formula_sum 'Ce2 Nd1 Pa1 P4'
_symmetry_space_group_name_H-M 'P 1 2/m 1'
_symmetry_Int_Tables_number 10
_cell_length_a 7.0527
_cell_length_b 4.0722
_cell_length_c 7.0586
_cell_angle_alpha 90.00
_cell_angle_beta 109.41
_cell_angle_gamma 90.00
loop_
_symmetry_equiv_pos_as_xyz
'x,y,z'
'-x,-y,-z'
'-x,y,-z'
'x,-y,z'
loop_
_atom_site_label
_atom_site_type_symbol
_atom_site_fract_x
_atom_site_fract_y
_atom_site_fract_z
Ce1 Ce 0.0000 0.0000 0.0000
Ce2 Ce 0.5000 0.5000 0.0000
Nd1 Nd 0.0000 0.5000 0.5000
Pa1 Pa 0.5000 0.0000 0.5000
P1 P 0.2603 0.0000 0.7499
P2 P 0.2606 0.5000 0.2567
# total energy = -59.46 eV per formula unit
# DOS at the Fermi energy = 11.93 states/eV per cell

***

# Sc2MnHg PBE-GGA relaxed
data_Sc2MnHg
_chemical_formula_sum 'Sc4 Mn2 Hg2'
_symmetry_space_group_name_H-M 'I -4 m 2'
_symmetry_Int_Tables_number 119
_symmetry_space_group_name_Hall 'I -4 -2'
_cell_length_a 4.1951
_cell_length_b 4.1951
_cell_length_c 8.9977
_cell_angle_alpha 90.00
_cell_angle_beta 90.00
_cell_angle_gamma 90.00
loop_
_atom_site_label
_atom_site_type_symbol
_atom_site_fract_x
_atom_site_fract_y
_atom_site_fract_z
Sc1 Sc 0.0000 0.0000 0.0000
Sc2 Sc 0.0000 0.5000 0.2500
Mn1 Mn 0.0000 0.0000 0.5000
Hg1 Hg 0.0000 0.5000 0.7500
# total energy = -22.40 eV per formula unit
# DOS at the Fermi energy = 9.24 states/eV per cell

***

# RbTiS2 PBE-GGA relaxed
data_RbTiS2
_chemical_formula_sum 'Rb3 Ti3 S6'
_symmetry_space_group_name_H-M 'R 3 m'
_symmetry_Int_Tables_number 160
_symmetry_space_group_name_Hall 'R 3 -2"'
_cell_length_a 3.6797
_cell_length_b 3.6797
_cell_length_c 22.9513
_cell_angle_alpha 90.00
_cell_angle_beta 90.00
_cell_angle_gamma 120.00
loop_
_atom_site_label
_atom_site_type_symbol
_atom_site_fract_x
_atom_site_fract_y
_atom_site_fract_z
Rb1 Rb 0.0000 0.0000 0.0000
Ti1 Ti 0.0000 0.0000 0.8312
S1 S 0.0000 0.0000 0.2244
S2 S 0.0000 0.0000 0.4385
# DOS at the Fermi energy = 5.00 states/eV per cell
# ΔE_f (raw) = -1.276 eV per atom

***

# CaAc2Re PBE-GGA relaxed
data_CaAc2Re
_chemical_formula_sum 'Ca3 Ac6 Re3'
_symmetry_space_group_name_H-M 'R -3 m'
_symmetry_Int_Tables_number 166
_symmetry_space_group_name_Hall '-R 3 2"'
_cell_length_a 3.6154
_cell_length_b 3.6154
_cell_length_c 36.5199
_cell_angle_alpha 90.00
_cell_angle_beta 90.00
_cell_angle_gamma 120.00
loop_
_atom_site_label
_atom_site_type_symbol
_atom_site_fract_x
_atom_site_fract_y
_atom_site_fract_z
Ca1 Ca 0.0000 0.0000 0.0000
Ac1 Ac 0.0000 0.0000 0.4262
Re1 Re 0.0000 0.0000 0.5000
# total energy = -18.23 eV per formula unit
# DOS at the Fermi energy = 17.42 states/eV per cell

***

Copy entry 6 word for word.
# RbTiS2 PBE-GGA relaxed
data_RbTiS2
_chemical_formula_sum 'Rb3 Ti3 S6'
_symmetry_space_group_name_H-M 'R 3 m'
_symmetry_Int_Tables_number 160
_symmetry_space_group_name_Hall 'R 3 -2"'
_cell_length_a 3.6797
_cell_length_b 3.6797
_cell_length_c 22.9513
_cell_angle_alpha 90.00
_cell_angle_beta 90.00
_cell_angle_gamma 120.00
loop_
_atom_site_label
_atom_site_type_symbol
_atom_site_fract_x
_atom_site_fract_y
_atom_site_fract_z
Rb1 Rb 0.0000 0.0000 0.0000
Ti1 Ti 0.0000 0.0000 0.8312
S1 S 0.0000 0.0000 0.2244
S2 S 0.0000 0.0000 0.4385
# DOS at the Fermi energy = 5.00 states/eV per cell
# ΔE_f (raw) = -1.276 eV per atom

***

Which of these has the highest DOS at the Fermi energy?
La2Pm3Pr6Al